AcZnSi2Au6 | PBE | relaxed

Output
DFT total energy: -3.71 eV/atom
volume: 275 Å³ per cell
energy relative to the elements, uncorrected: -118 meV/atom

Cell lengths 6.7119, 6.7119, 8.0349 Å; angles 65.31, 65.31, 60.00 degrees
With the nearest neighbours (Å) after each atom.
Fractional coordinates of all 10 atoms:
Ac1 0.0000 0.0000 0.0000  6 Au 3.36
Zn1 0.5000 0.5000 0.5000  6 Au 2.65
Si1 0.7168 0.7168 0.8496  3 Au 2.34
Si2 0.2832 0.2832 0.1504  3 Au 2.34
Au1 0.1282 0.4868 0.7979  1 Si 2.34
Au2 0.5870 0.1282 0.7979  1 Si 2.34
Au3 0.5132 0.4130 0.2021  1 Si 2.34
Au4 0.8718 0.5132 0.2021  1 Si 2.34
Au5 0.4130 0.8718 0.2021  1 Si 2.34
Au6 0.4868 0.5870 0.7979  1 Si 2.34

---

MgNbBi2 | PBE | relaxed

Output
DFT total energy: -4.77 eV/atom
volume: 97 Å³ per cell
formation energy: 0.082 eV/atom

Cell lengths 3.7284, 3.7284, 6.9885 Å; angles 90.00, 90.00, 90.00 degrees
With the nearest neighbours (Å) after each atom.
Fractional coordinates of all 4 atoms:
Mg1 0.5000 0.5000 0.0000  8 Bi 3.24, 2 Nb 3.49
Nb1 0.5000 0.5000 0.5000  8 Bi 3.09
Bi1 0.0000 0.0000 0.7293  4 Nb 3.09, 1 Bi 3.20, 4 Mg 3.24
Bi2 0.0000 0.0000 0.2707  4 Nb 3.09, 1 Bi 3.20, 4 Mg 3.24

---

Question: Which of these has the highest volume?
Answer: AcZnSi2Au6

---

What did the first record say?
AcZnSi2Au6 | PBE | relaxed

Output
DFT total energy: -3.71 eV/atom
volume: 275 Å³ per cell
energy relative to the elements, uncorrected: -118 meV/atom

Cell lengths 6.7119, 6.7119, 8.0349 Å; angles 65.31, 65.31, 60.00 degrees
With the nearest neighbours (Å) after each atom.
Fractional coordinates of all 10 atoms:
Ac1 0.0000 0.0000 0.0000  6 Au 3.36
Zn1 0.5000 0.5000 0.5000  6 Au 2.65
Si1 0.7168 0.7168 0.8496  3 Au 2.34
Si2 0.2832 0.2832 0.1504  3 Au 2.34
Au1 0.1282 0.4868 0.7979  1 Si 2.34
Au2 0.5870 0.1282 0.7979  1 Si 2.34
Au3 0.5132 0.4130 0.2021  1 Si 2.34
Au4 0.8718 0.5132 0.2021  1 Si 2.34
Au5 0.4130 0.8718 0.2021  1 Si 2.34
Au6 0.4868 0.5870 0.7979  1 Si 2.34